[1]
Crystalline Y2AuO4 at its relaxed geometry, computed with GGA-PBE.

Output
* uncorrected formation energy: -1852 meV per atom
* DOS at the Fermi energy: 1.390 states/eV/cell

abc: 4.102 4.102 6.941
angles: 72.82 72.82 90.00
Element x y z (fractional)
Y: 0.637 0.637 0.725
Y: 0.363 0.363 0.275
Au: 0.000 0.000 0.000
O: 0.798 0.798 0.403
O: 0.202 0.202 0.597
O: 0.000 0.500 0.000
O: 0.500 0.000 0.000

---

[2]
Crystalline YAuO3 at its relaxed geometry, computed with GGA-PBE.

Output
* uncorrected formation energy: -1504 meV per atom
* DOS at the Fermi energy: 4.336 states/eV/cell

abc: 3.912 5.866 6.390
angles: 90.00 107.82 90.00
Element x y z (fractional)
Y: 0.305 0.750 0.610
Y: 0.695 0.250 0.390
Au: 0.971 0.250 0.942
Au: 0.029 0.750 0.058
O: 0.833 0.979 0.667
O: 0.167 0.479 0.333
O: 0.502 0.250 0.003
O: 0.167 0.021 0.333
O: 0.833 0.521 0.667
O: 0.498 0.750 0.997

---

[3]
Crystalline YAuO3 at its relaxed geometry, computed with GGA-PBE.

Output
* uncorrected formation energy: -1839 meV per atom
* DOS at the Fermi energy: 0.000 states/eV/cell

abc: 3.834 5.598 12.999
angles: 90.00 90.00 90.00
Element x y z (fractional)
Y: 0.740 0.250 0.925
Y: 0.740 0.750 0.575
Y: 0.260 0.750 0.075
Y: 0.260 0.250 0.425
Au: 0.937 0.250 0.170
Au: 0.937 0.750 0.330
Au: 0.063 0.750 0.830
Au: 0.063 0.250 0.670
O: 0.798 0.500 0.750
O: 0.202 0.000 0.250
O: 0.202 0.500 0.250
O: 0.798 0.000 0.750
O: 0.257 0.499 0.925
O: 0.257 0.501 0.575
O: 0.743 0.999 0.075
O: 0.743 0.001 0.425
O: 0.257 0.999 0.575
O: 0.257 0.001 0.925
O: 0.743 0.499 0.425
O: 0.743 0.501 0.075

---

[4]
Crystalline YAuO3 at its relaxed geometry, computed with GGA-PBE.

Output
* uncorrected formation energy: -856 meV per atom
* DOS at the Fermi energy: 6.719 states/eV/cell

abc: 4.355 4.355 4.355
angles: 90.00 90.00 90.00
Site moments in Bohr magnetons follow the coordinates.
Element x y z (fractional)
Y: 0.000 0.000 0.000  0.05
Au: 0.500 0.500 0.500  -0.16
O: 0.000 0.500 0.000  -0.64
O: 0.000 0.000 0.500  -0.56
O: 0.500 0.000 0.000  -0.42

---

[5]
Crystalline Y3Au2O at its relaxed geometry, computed with GGA-PBE.

Output
* uncorrected formation energy: -1446 meV per atom
* DOS at the Fermi energy: 6.369 states/eV/cell

abc: 6.746 7.023 6.803
angles: 102.84 119.72 90.00
Element x y z (fractional)
Y: 0.413 0.250 0.000
Y: 0.587 0.750 0.000
Y: 0.206 0.972 0.267
Y: 0.939 0.528 0.733
Y: 0.061 0.472 0.267
Y: 0.794 0.028 0.733
Au: 0.514 0.648 0.354
Au: 0.841 0.148 0.354
Au: 0.159 0.852 0.646
Au: 0.486 0.352 0.646
O: 0.917 0.750 0.000
O: 0.083 0.250 0.000

---

[6]
Crystalline Y2Au2O7 at its relaxed geometry, computed with GGA-PBE.

Output
* uncorrected formation energy: -1559 meV per atom
* DOS at the Fermi energy: 13.070 states/eV/cell

abc: 7.429 7.429 7.429
angles: 60.00 60.00 60.00
Site moments in Bohr magnetons follow the coordinates.
Element x y z (fractional)
Y: 0.625 0.625 0.625  0.01
Y: 0.625 0.625 0.125  0.01
Y: 0.625 0.125 0.625  0.01
Y: 0.125 0.625 0.625  0.01
Au: 0.625 0.125 0.125  0.22
Au: 0.125 0.625 0.125  0.22
Au: 0.125 0.125 0.625  0.22
Au: 0.125 0.125 0.125  0.22
O: 0.221 0.221 0.779  0.08
O: 0.221 0.779 0.221  0.08
O: 0.471 0.029 0.471  0.08
O: 0.471 0.471 0.029  0.08
O: 0.750 0.750 0.750  0.02
O: 0.779 0.221 0.221  0.08
O: 0.471 0.029 0.029  0.08
O: 0.029 0.471 0.471  0.08
O: 0.029 0.029 0.471  0.08
O: 0.029 0.471 0.029  0.08
O: 0.221 0.779 0.779  0.08
O: 0.500 0.500 0.500  0.02
O: 0.779 0.221 0.779  0.08
O: 0.779 0.779 0.221  0.08

---

[7]
Crystalline Y12Au3O5 at its relaxed geometry, computed with GGA-PBE.

Output
* uncorrected formation energy: -1649 meV per atom
* DOS at the Fermi energy: 77.422 states/eV/cell

abc: 13.335 13.335 13.335
angles: 109.47 109.47 109.47
Site moments in Bohr magnetons follow the coordinates.
Element x y z (fractional)
Au: 0.750 0.375 0.125  0.01
Au: 0.875 0.750 0.125  0.01
Au: 0.375 0.750 0.625  0.01
Au: 0.250 0.125 0.375  0.01
Au: 0.875 0.125 0.250  0.01
Au: 0.375 0.625 0.250  0.01
Au: 0.625 0.375 0.750  0.01
Au: 0.125 0.875 0.750  0.01
Au: 0.750 0.875 0.625  0.01
Au: 0.625 0.250 0.375  0.01
Au: 0.125 0.250 0.875  0.01
Au: 0.250 0.625 0.875  0.01
O: 0.125 0.375 0.250  0.01
O: 0.000 0.500 0.000  0.00
O: 0.000 0.000 0.000  0.00
O: 0.375 0.250 0.125  0.01
O: 0.500 0.000 0.500  0.00
O: 0.500 0.500 0.000  0.00
O: 0.125 0.750 0.375  0.01
O: 0.750 0.125 0.875  0.01
O: 0.750 0.625 0.375  0.01
O: 0.375 0.125 0.750  0.01
O: 0.625 0.875 0.250  0.01
O: 0.500 0.500 0.500  0.00
O: 0.500 0.000 0.000  0.00
O: 0.000 0.000 0.500  0.00
O: 0.250 0.375 0.625  0.01
O: 0.250 0.875 0.125  0.01
O: 0.000 0.500 0.500  0.00
O: 0.875 0.250 0.625  0.01
O: 0.625 0.750 0.875  0.01
O: 0.875 0.625 0.750  0.01
Y: 0.702 0.112 0.016  0.09
Y: 0.313 0.516 0.403  0.09
Y: 0.984 0.388 0.298  0.09
Y: 0.516 0.202 0.112  0.09
Y: 0.590 0.702 0.687  0.09
Y: 0.984 0.597 0.187  0.09
Y: 0.313 0.798 0.410  0.09
Y: 0.097 0.910 0.112  0.09
Y: 0.597 0.984 0.687  0.09
Y: 0.702 0.590 0.187  0.09
Y: 0.798 0.484 0.388  0.09
Y: 0.813 0.903 0.016  0.09
Y: 0.112 0.702 0.516  0.09
Y: 0.388 0.403 0.090  0.09
Y: 0.090 0.903 0.388  0.09
Y: 0.410 0.112 0.597  0.09
Y: 0.090 0.187 0.202  0.09
Y: 0.484 0.687 0.097  0.09
Y: 0.813 0.910 0.298  0.09
Y: 0.112 0.410 0.097  0.09
Y: 0.388 0.984 0.798  0.09
Y: 0.597 0.612 0.410  0.09
Y: 0.903 0.813 0.516  0.09
Y: 0.798 0.313 0.910  0.09
Y: 0.403 0.388 0.590  0.09
Y: 0.097 0.187 0.484  0.09
Y: 0.202 0.687 0.090  0.09
Y: 0.187 0.090 0.702  0.09
Y: 0.612 0.016 0.202  0.09
Y: 0.888 0.590 0.903  0.09
Y: 0.516 0.313 0.903  0.09
Y: 0.590 0.888 0.403  0.09
Y: 0.910 0.813 0.798  0.09
Y: 0.910 0.097 0.612  0.09
Y: 0.888 0.298 0.484  0.09
Y: 0.187 0.097 0.984  0.09
Y: 0.612 0.597 0.910  0.09
Y: 0.403 0.016 0.313  0.09
Y: 0.298 0.410 0.813  0.09
Y: 0.202 0.516 0.612  0.09
Y: 0.903 0.090 0.888  0.09
Y: 0.687 0.202 0.590  0.09
Y: 0.484 0.798 0.888  0.09
Y: 0.016 0.403 0.813  0.09
Y: 0.410 0.298 0.313  0.09
Y: 0.016 0.612 0.702  0.09
Y: 0.687 0.484 0.597  0.09
Y: 0.298 0.888 0.984  0.09

---

[8]
Crystalline YAuO3 at its relaxed geometry, computed with GGA-PBE.

Output
* uncorrected formation energy: -1029 meV per atom
* DOS at the Fermi energy: 0.762 states/eV/cell

abc: 4.092 4.092 4.092
angles: 90.00 90.00 90.00
Element x y z (fractional)
Y: 0.500 0.500 0.500
Au: 0.000 0.000 0.000
O: 0.000 0.500 0.000
O: 0.000 0.000 0.500
O: 0.500 0.000 0.000

---

[9]
Crystalline Y2ZnAuO at its relaxed geometry, computed with GGA-PBE.

Output
* uncorrected formation energy: -234 meV per atom
* DOS at the Fermi energy: 7.217 states/eV/cell

abc: 5.547 3.707 5.547
angles: 90.00 90.00 90.00
Element x y z (fractional)
Y: 0.000 0.000 0.500
Y: 0.500 0.000 0.000
Zn: 0.000 0.000 0.000
Au: 0.500 0.500 0.500
O: 0.000 0.500 0.000

---

[10]
Crystalline Y4ZnAuO at its relaxed geometry, computed with GGA-PBE.

Output
* uncorrected formation energy: -1140 meV per atom
* DOS at the Fermi energy: 14.624 states/eV/cell

abc: 6.639 6.628 8.068
angles: 90.00 114.30 90.00
Element x y z (fractional)
Y: 0.932 0.250 0.863
Y: 0.430 0.750 0.860
Y: 0.068 0.750 0.137
Y: 0.570 0.250 0.140
Y: 0.500 0.500 0.500
Y: 0.000 0.000 0.500
Y: 0.500 0.000 0.500
Y: 0.000 0.500 0.500
Zn: 0.624 0.750 0.247
Zn: 0.376 0.250 0.753
Au: 0.121 0.250 0.243
Au: 0.879 0.750 0.757
O: 0.253 0.750 0.506
O: 0.747 0.250 0.494

---

[11]
Crystalline YZr2AuO at its relaxed geometry, computed with GGA-PBE.

Output
* uncorrected formation energy: -1283 meV per atom
* DOS at the Fermi energy: 3.383 states/eV/cell

abc: 4.463 4.463 4.727
angles: 90.00 90.00 90.00
Element x y z (fractional)
Y: 0.000 0.000 0.500
Au: 0.500 0.500 0.500
O: 0.000 0.000 0.000
Zr: 0.000 0.500 0.000
Zr: 0.500 0.000 0.000

---

[12]
Crystalline Y2ZrAuO at its relaxed geometry, computed with GGA-PBE.

Output
* uncorrected formation energy: -1363 meV per atom
* DOS at the Fermi energy: 2.849 states/eV/cell

abc: 4.714 4.714 4.487
angles: 90.00 90.00 90.00
Element x y z (fractional)
Y: 0.000 0.500 0.000
Y: 0.500 0.000 0.000
Au: 0.500 0.500 0.500
O: 0.000 0.000 0.000
Zr: 0.000 0.000 0.500

---

[13]
Crystalline Zn3AuO at its relaxed geometry, computed with GGA-PBE.

Output
* uncorrected formation energy: 461 meV per atom
* DOS at the Fermi energy: 5.115 states/eV/cell

abc: 4.896 4.896 4.896
angles: 90.00 90.00 90.00
Site moments in Bohr magnetons follow the coordinates.
Element x y z (fractional)
Zn: 0.000 0.500 0.000  -0.04
Zn: 0.000 0.000 0.500  0.00
Zn: 0.500 0.000 0.000  -0.03
Au: 0.000 0.000 0.000  -0.01
O: 0.500 0.500 0.500  -0.94

---

[14]
Crystalline ZnAuO3 at its relaxed geometry, computed with GGA-PBE.

Output
* uncorrected formation energy: 326 meV per atom
* DOS at the Fermi energy: 2.031 states/eV/cell

abc: 3.993 3.993 3.993
angles: 90.00 90.00 90.00
Element x y z (fractional)
Zn: 0.500 0.500 0.500
Au: 0.000 0.000 0.000
O: 0.000 0.500 0.000
O: 0.000 0.000 0.500
O: 0.500 0.000 0.000

---

[15]
Crystalline Zn2AuO at its relaxed geometry, computed with GGA-PBE.

Output
* uncorrected formation energy: -589 meV per atom
* DOS at the Fermi energy: 2.302 states/eV/cell

abc: 5.968 5.968 5.479
angles: 57.00 57.00 90.00
Element x y z (fractional)
Zn: 0.542 0.125 0.250
Zn: 0.208 0.625 0.250
Zn: 0.375 0.458 0.750
Zn: 0.875 0.792 0.750
Au: 0.000 0.000 0.000
Au: 0.750 0.250 0.500
O: 0.500 0.500 0.000
O: 0.250 0.750 0.500

---

[16]
Crystalline Zn3AuO at its relaxed geometry, computed with GGA-PBE.

Output
* uncorrected formation energy: -286 meV per atom
* DOS at the Fermi energy: 0.930 states/eV/cell

abc: 4.186 4.186 4.186
angles: 90.00 90.00 90.00
Element x y z (fractional)
Zn: 0.000 0.500 0.000
Zn: 0.000 0.000 0.500
Zn: 0.500 0.000 0.000
Au: 0.500 0.500 0.500
O: 0.000 0.000 0.000

---

[17]
Crystalline ZnAuO2 at its relaxed geometry, computed with GGA-PBE.

Output
* uncorrected formation energy: -385 meV per atom
* DOS at the Fermi energy: 10.652 states/eV/cell

abc: 5.153 5.153 5.614
angles: 62.68 62.68 90.00
Element x y z (fractional)
Zn: 0.500 0.500 0.000
Zn: 0.250 0.750 0.500
Au: 0.000 0.000 0.000
Au: 0.750 0.250 0.500
O: 0.579 0.125 0.250
O: 0.171 0.625 0.250
O: 0.375 0.421 0.750
O: 0.875 0.829 0.750

---

[18]
Crystalline Zn6AuO6 at its relaxed geometry, computed with GGA-PBE.

Output
* uncorrected formation energy: -1109 meV per atom
* DOS at the Fermi energy: 2.236 states/eV/cell

abc: 5.703 5.703 5.703
angles: 90.00 90.00 90.00
Element x y z (fractional)
Zn: 0.247 0.500 0.000
Zn: 0.753 0.500 0.000
Zn: 0.500 0.000 0.247
Zn: 0.500 0.000 0.753
Zn: 0.000 0.247 0.500
Zn: 0.000 0.753 0.500
Au: 0.000 0.000 0.000
O: 0.254 0.000 0.500
O: 0.746 0.000 0.500
O: 0.000 0.500 0.254
O: 0.000 0.500 0.746
O: 0.500 0.254 0.000
O: 0.500 0.746 0.000

---

[19]
Crystalline ZnAu3O at its relaxed geometry, computed with GGA-PBE.

Output
* uncorrected formation energy: 1026 meV per atom
* DOS at the Fermi energy: 4.942 states/eV/cell

abc: 4.788 4.788 4.788
angles: 90.00 90.00 90.00
Element x y z (fractional)
Zn: 0.000 0.000 0.000
Au: 0.000 0.500 0.000
Au: 0.000 0.000 0.500
Au: 0.500 0.000 0.000
O: 0.500 0.500 0.500

---

[20]
Crystalline ZnAu3O at its relaxed geometry, computed with GGA-PBE.

Output
* uncorrected formation energy: 402 meV per atom
* DOS at the Fermi energy: 3.238 states/eV/cell

abc: 4.519 4.519 4.519
angles: 90.00 90.00 90.00
Element x y z (fractional)
Zn: 0.500 0.500 0.500
Au: 0.000 0.500 0.000
Au: 0.000 0.000 0.500
Au: 0.500 0.000 0.000
O: 0.000 0.000 0.000